No. 1
# NbC3Br

Crystalline NbC3Br at its relaxed geometry (GGA-PBEsol, Alexandria).

Geometry as POSCAR:
```
NbC3Br
1.0
-0.8100 -1.1156 -3.5980
-0.2364 -3.6579 1.1874
-3.7595 0.4703 0.7005
Nb Br C
1 1 3
Direct
0.5000 0.5000 0.5000 Nb
0.0000 0.0000 0.0000 Br
0.5000 0.0000 0.0000 C
0.0000 0.0000 0.5000 C
0.0000 0.5000 0.0000 C
```

The calculation puts the magnetic moment at 0.00 μB/f.u. Its energy is -5.34 eV per atom. The density of states at the Fermi level comes out at 0.588 states/eV/atom.

---

No. 2
# NbTe2CBr

Crystalline NbTe2CBr at its relaxed geometry (GGA-PBEsol, Alexandria).

Geometry as POSCAR:
```
NbTe2CBr
1.0
-3.8332 -0.1875 3.2241
-1.7254 -4.5067 -2.3135
2.9854 -2.8791 3.3820
Nb C Te Br
1 1 2 1
Direct
0.0000 0.0000 0.0000 Nb
0.5000 0.5000 0.5000 C
0.0000 0.0000 0.5000 Te
0.0000 0.5000 0.0000 Te
0.5000 0.0000 0.0000 Br
```

The calculation puts the magnetic moment at 1.90 μB/f.u. Its energy is -4.50 eV per atom. The density of states at the Fermi level comes out at 0.622 states/eV/atom.

---

No. 3
# NiCSeBr2

Crystalline NiCSeBr2 at its relaxed geometry (GGA-PBEsol, Alexandria).

Geometry as POSCAR:
```
NiCSeBr2
1.0
4.5988 0.0000 0.0000
0.0000 4.7421 0.0000
0.0000 0.0000 4.7421
Br Se Ni C
2 1 1 1
Direct
0.0000 0.5000 0.0000 Br
0.0000 0.0000 0.5000 Br
0.5000 0.0000 0.0000 Se
0.0000 0.0000 0.0000 Ni
0.5000 0.5000 0.5000 C
```

The calculation puts the magnetic moment at 0.59 μB/f.u. Its energy is -3.18 eV per atom. The density of states at the Fermi level comes out at 0.868 states/eV/atom.

---

No. 4
# Pb2CBr2O3

Crystalline Pb2CBr2O3 at its relaxed geometry (GGA-PBEsol, Alexandria).

Geometry as POSCAR:
```
Pb2CBr2O3
1.0
8.2747 0.0000 0.0000
0.0000 8.2747 0.0000
0.0000 0.0000 9.0535
O C Pb Br
12 4 8 8
Direct
0.6269 0.1269 0.1268 O
0.6269 0.1269 0.8732 O
0.7110 0.7890 0.0000 O
0.3731 0.8731 0.1268 O
0.8731 0.6269 0.8732 O
0.7890 0.2890 0.0000 O
0.8731 0.6269 0.1268 O
0.2110 0.7110 0.0000 O
0.2890 0.2110 0.0000 O
0.1269 0.3731 0.8732 O
0.1269 0.3731 0.1268 O
0.3731 0.8731 0.8732 O
0.1768 0.3232 0.0000 C
0.8232 0.6768 0.0000 C
0.6768 0.1768 0.0000 C
0.3232 0.8232 0.0000 C
0.6616 0.8384 0.2538 Pb
0.6616 0.8384 0.7462 Pb
0.3384 0.1616 0.2538 Pb
0.3384 0.1616 0.7462 Pb
0.8384 0.3384 0.2538 Pb
0.1616 0.6616 0.2538 Pb
0.1616 0.6616 0.7462 Pb
0.8384 0.3384 0.7462 Pb
0.5000 0.5000 0.2395 Br
0.6492 0.1492 0.5000 Br
0.3508 0.8508 0.5000 Br
0.5000 0.5000 0.7605 Br
0.8508 0.6492 0.5000 Br
0.1492 0.3508 0.5000 Br
0.0000 0.0000 0.7605 Br
0.0000 0.0000 0.2395 Br
```

The calculation puts the magnetic moment at 0.00 μB/f.u. Its energy is -5.85 eV per atom. The density of states at the Fermi level comes out at 0.000 states/eV/atom.

---

No. 5
# PdCBr3

Crystalline PdCBr3 at its relaxed geometry (GGA-PBEsol, Alexandria).

Geometry as POSCAR:
```
PdCBr3
1.0
4.9864 0.0000 0.0000
0.0000 4.9864 0.0000
0.0000 0.0000 4.9864
C Br Pd
1 3 1
Direct
0.5000 0.5000 0.5000 C
0.0000 0.5000 0.0000 Br
0.0000 0.0000 0.5000 Br
0.5000 0.0000 0.0000 Br
0.0000 0.0000 0.0000 Pd
```

The calculation puts the magnetic moment at 1.14 μB/f.u. Its energy is -2.83 eV per atom. The density of states at the Fermi level comes out at 0.907 states/eV/atom.

---

No. 6
# Sr2PdCBr

Crystalline Sr2PdCBr at its relaxed geometry (GGA-PBEsol, Alexandria).

Geometry as POSCAR:
```
Sr2PdCBr
1.0
-0.3660 -2.8914 2.5851
1.9046 -3.5582 -3.7102
5.1148 0.9153 1.7479
Sr Pd Br C
2 1 1 1
Direct
0.0000 0.5000 0.0000 Sr
0.0000 0.0000 0.5000 Sr
0.5000 0.0000 0.0000 Pd
0.5000 0.5000 0.5000 Br
0.0000 0.0000 0.0000 C
```

The calculation puts the magnetic moment at 0.00 μB/f.u. Its energy is -4.87 eV per atom. The density of states at the Fermi level comes out at 0.330 states/eV/atom.

---

No. 7
# Pr2CBr

Crystalline Pr2CBr at its relaxed geometry (GGA-PBEsol, Alexandria).

Geometry as POSCAR:
```
Pr2CBr
1.0
-1.6330 -1.1872 -3.2092
1.0917 -2.5182 2.6158
-13.3120 0.9139 6.4356
Pr C Br
4 2 2
Direct
0.3333 0.6667 0.0934 Pr
0.6667 0.3333 0.5934 Pr
0.3333 0.6667 0.4066 Pr
0.6667 0.3333 0.9066 Pr
0.0000 0.0000 0.5000 C
0.0000 0.0000 0.0000 C
0.3333 0.6667 0.7500 Br
0.6667 0.3333 0.2500 Br
```

The calculation puts the magnetic moment at 0.00 μB/f.u. Its energy is -6.38 eV per atom. The density of states at the Fermi level comes out at 0.396 states/eV/atom.

---

No. 8
# Pr3CBr5

Crystalline Pr3CBr5 at its relaxed geometry (GGA-PBEsol, Alexandria).

Geometry as POSCAR:
```
Pr3CBr5
1.0
-5.8822 -4.1038 2.3866
6.9526 -2.4800 5.1618
-2.9138 8.1040 2.9567
Br C Pr
10 2 6
Direct
0.4562 0.8158 0.0872 Br
0.9072 0.6262 0.1809 Br
0.6488 0.5261 0.7184 Br
0.5438 0.1842 0.9128 Br
0.8264 0.2744 0.3644 Br
0.2558 0.0873 0.4681 Br
0.3512 0.4739 0.2816 Br
0.0928 0.3738 0.8191 Br
0.1736 0.7256 0.6356 Br
0.7442 0.9127 0.5319 Br
0.0927 0.0342 0.0462 C
0.9073 0.9658 0.9538 C
0.3965 0.1552 0.2031 Pr
0.0287 0.7158 0.9175 Pr
0.9713 0.2842 0.0825 Pr
0.1134 0.0432 0.7655 Pr
0.6035 0.8448 0.7969 Pr
0.8866 0.9568 0.2345 Pr
```

The calculation puts the magnetic moment at 0.00 μB/f.u. Its energy is -5.42 eV per atom.